Record 1
Compound: NbBi3Mo
Source: Alexandria via LeMat-Bulk
Functional: GGA-PBE
Structure: relaxed

Cell: 5.372 5.372 5.372 Å, 90.00 90.00 90.00°
Positions (direct):
Nb 0.000 0.000 0.000
Bi 0.000 0.500 0.500
Bi 0.500 0.000 0.500
Bi 0.500 0.500 0.000
Mo 0.500 0.500 0.500

* energy above the most stable polymorph in this dataset: 7 meV per atom
* E_form: 1.20 eV per atom

=====

Record 2
Compound: SrPuPdPt
Source: Alexandria via LeMat-Bulk
Functional: GGA-PBE
Structure: relaxed

Cell: 5.095 5.095 5.095 Å, 60.00 60.00 60.00°
Positions (direct):
Sr 0.000 0.000 0.000
Pu 0.500 0.500 0.500
Pd 0.750 0.750 0.750
Pt 0.250 0.250 0.250

* E_form: -0.54 eV per atom

=====

Record 3
Compound: YTiAl2
Source: Alexandria via LeMat-Bulk
Functional: GGA-PBE
Structure: relaxed

Cell: 4.811 4.811 4.811 Å, 60.00 60.00 60.00°
Positions (direct):
Y 0.000 0.000 0.000
Ti 0.500 0.500 0.500
Al 0.250 0.250 0.250
Al 0.750 0.750 0.750

* energy above the most stable polymorph in this dataset: 88 meV per atom
* E_form: -0.23 eV per atom

=====

What did we get for raw total energy? Answer: -5.31 -7.35 -5.69 eV/atom, in the order shown.
What did we get for density of states at the Fermi level? Answer: 3.571 14.406 3.189 states/eV/cell, in the order shown.